[1]
The following is a DFT calculation (PBE) of a relaxed La2MgInSi crystal.

Cell: 5.768 5.768 4.899 Å, 90.00 90.00 90.00°
Fractional positions:
La: 0.000 0.500 0.000
La: 0.500 0.000 0.000
Mg: 0.000 0.000 0.500
In: 0.500 0.500 0.500
Si: 0.000 0.000 0.000

Theoretical density in Mg/m³: 4.533
Formation energy without anion corrections in eV per formula unit: -1.053

---

[2]
The following is a DFT calculation (PBE) of a relaxed Er4Tm5Th crystal.

Cell: 8.648 8.648 10.803 Å, 90.53 90.53 23.46°
Fractional positions:
Er: 0.025 0.025 0.248
Er: 0.349 0.349 0.254
Er: 0.651 0.651 0.746
Er: 0.975 0.975 0.752
Tm: 0.172 0.172 0.449
Tm: 0.173 0.173 0.048
Tm: 0.500 0.500 0.000
Tm: 0.827 0.827 0.952
Tm: 0.828 0.828 0.551
Th: 0.500 0.500 0.500

Theoretical density in Mg/m³: 9.014
Formation enthalpy at 0 K in meV per atom: 184

---

Which of these has the highest theoretical density?
Er4Tm5Th

---

Repeat the second record exactly.
The following is a DFT calculation (PBE) of a relaxed Er4Tm5Th crystal.

Cell: 8.648 8.648 10.803 Å, 90.53 90.53 23.46°
Fractional positions:
Er: 0.025 0.025 0.248
Er: 0.349 0.349 0.254
Er: 0.651 0.651 0.746
Er: 0.975 0.975 0.752
Tm: 0.172 0.172 0.449
Tm: 0.173 0.173 0.048
Tm: 0.500 0.500 0.000
Tm: 0.827 0.827 0.952
Tm: 0.828 0.828 0.551
Th: 0.500 0.500 0.500

Theoretical density in Mg/m³: 9.014
Formation enthalpy at 0 K in meV per atom: 184

---

Look up the theoretical density of the second one.
9.014 Mg/m³

---

Among the records above, which one has the highest theoretical density?
Er4Tm5Th